# Ca2GaCoO5

An optimized crystal structure of Ca2GaCoO5 (GGA+U, the Alexandria database).

Cell lengths 6.590, 6.590, 10.380 Å; angles 90.00, 90.00, 152.34 degrees
Fractional positions:
Ca 0.096 0.904 0.500
Ca 0.144 0.856 0.142
Ca 0.856 0.144 0.642
Ca 0.904 0.096 0.000
Ga 0.454 0.546 0.287
Ga 0.546 0.454 0.787
Co 0.222 0.778 0.871
Co 0.778 0.222 0.371
O 0.068 0.932 0.885
O 0.272 0.728 0.495
O 0.300 0.700 0.255
O 0.376 0.624 0.836
O 0.499 0.501 0.120
O 0.501 0.499 0.620
O 0.624 0.376 0.336
O 0.700 0.300 0.755
O 0.728 0.272 0.995
O 0.932 0.068 0.385

Computed properties:
For the final energy, the calculation gives -6.174 eV per atom. The calculation puts the total magnetic moment at 0.000 μB/cell. Its volume is 11.63 Å³ per atom. For the density of states at the Fermi level, the calculation gives 0.000 states/eV per atom.